A plane-wave DFT calculation with GGA-PBE was carried out for crystalline Te4Pb8SeS3 at its relaxed geometry.

Unit cell a=8.909 b=8.914 c=8.909 alpha=119.99 beta=120.00 gamma=90.00
Positions (direct):
Pb  0.245  0.727  0.983
Pb  0.258  0.275  0.517
Pb  0.755  0.273  0.510
Pb  0.742  0.725  0.483
Pb  0.755  0.273  0.017
Pb  0.738  0.727  0.983
Pb  0.262  0.273  0.017
Pb  0.245  0.727  0.490
Te  0.000  0.000  0.500
Te  0.000  0.000  0.000
Te  0.500  0.000  0.500
Te  0.500  0.000  0.000
Se  0.000  0.500  0.000
S  0.000  0.500  0.500
S  0.500  0.500  0.500
S  0.500  0.500  0.000

Properties
* total magnetization: 0.00 μB per cell
* crystal system: trigonal
* formation energy without anion corrections: -0.46 eV/atom

A plane-wave DFT calculation with GGA-PBE was carried out for crystalline Te2Pb6Se3S at its relaxed geometry.

Unit cell a=7.714 b=7.714 c=7.709 alpha=99.64 beta=99.64 gamma=120.09
Positions (direct):
Pb  0.914  0.596  0.741
Pb  0.404  0.086  0.259
Pb  0.230  0.230  0.747
Pb  0.770  0.770  0.253
Pb  0.596  0.914  0.741
Pb  0.086  0.404  0.259
Se  0.500  0.500  0.500
Se  0.174  0.826  0.500
Se  0.826  0.174  0.500
Te  0.335  0.665  0.000
Te  0.665  0.335  0.000
S  0.000  0.000  0.000

Properties
* total magnetization: 0.00 μB per cell
* crystal system: monoclinic
* formation energy without anion corrections: -0.49 eV/atom

A plane-wave DFT calculation with GGA-PBE was carried out for crystalline Te3Pb6Se2S at its relaxed geometry.

Unit cell a=7.770 b=7.770 c=7.774 alpha=99.59 beta=99.59 gamma=120.03
Positions (direct):
Pb  0.597  0.923  0.770
Pb  0.077  0.403  0.230
Pb  0.923  0.597  0.770
Pb  0.249  0.249  0.767
Pb  0.751  0.751  0.233
Pb  0.403  0.077  0.230
Te  0.170  0.830  0.500
Te  0.500  0.500  0.500
Te  0.830  0.170  0.500
S  0.000  0.000  0.000
Se  0.666  0.334  0.000
Se  0.334  0.666  0.000

Properties
* total magnetization: 0.00 μB per cell
* crystal system: monoclinic
* formation energy without anion corrections: -0.47 eV/atom

> Among the records above, which one has the highest formation energy without anion corrections?

Te4Pb8SeS3